{
  "formula": "Na2BiCl",
  "functional": "PBE",
  "state": "relaxed",
  "e_form_raw_ev_per_fu": -2.74,
  "polymorph_energy_ev_per_fu": 1.15,
  "sg": "No. 122",
  "crystal_system": "tetragonal",
  "cell": [[7.668, 0.000, 0.000], [0.000, 7.668, 0.000], [3.834, 3.834, 4.337]],
  "species": ["Bi", "Bi", "Na", "Na", "Na", "Na", "Cl", "Cl"],
  "frac_coords": [[0.750, 0.250, 0.500], [0.000, 0.000, 0.000], [0.875, 0.810, 0.750], [0.190, 0.625, 0.250], [0.560, 0.125, 0.250], [0.375, 0.440, 0.750], [0.250, 0.750, 0.500], [0.500, 0.500, 0.000]]
}

=====

{
  "formula": "CsInPb2",
  "functional": "PBE",
  "state": "relaxed",
  "formation_enthalpy_0k_mev_per_atom": -17.4,
  "sg": "No. 129",
  "crystal_system": "tetragonal",
  "cell": [[4.569, 0.000, 0.000], [0.000, 4.569, 0.000], [0.000, 0.000, 16.164]],
  "species": ["In", "In", "Pb", "Pb", "Pb", "Pb", "Cs", "Cs"],
  "frac_coords": [[0.500, 0.000, 0.641], [0.000, 0.500, 0.359], [0.500, 0.500, 0.500], [0.000, 0.500, 0.031], [0.500, 0.000, 0.969], [0.000, 0.000, 0.500], [0.500, 0.000, 0.221], [0.000, 0.500, 0.779]]
}

=====

{
  "formula": "CaLa2InIr",
  "functional": "PBE",
  "state": "relaxed",
  "formation_enthalpy_0k_mev_per_atom": -371.3,
  "polymorph_energy_ev_per_fu": 0.33,
  "sg": "No. 123",
  "crystal_system": "tetragonal",
  "cell": [[5.596, 0.000, 0.000], [0.000, 5.596, 0.000], [0.000, 0.000, 5.359]],
  "species": ["In", "La", "La", "Ir", "Ca"],
  "frac_coords": [[0.000, 0.000, 0.500], [0.500, 0.000, 0.000], [0.000, 0.500, 0.000], [0.000, 0.000, 0.000], [0.500, 0.500, 0.500]]
}

=====

{
  "formula": "Be2NbAsOs",
  "functional": "PBE",
  "state": "relaxed",
  "formation_enthalpy_0k_mev_per_atom": 1073.0,
  "sg": "No. 123",
  "crystal_system": "tetragonal",
  "cell": [[4.042, 0.000, 0.000], [0.000, 4.842, 0.000], [0.000, 0.000, 4.042]],
  "species": ["As", "Os", "Be", "Be", "Nb"],
  "frac_coords": [[0.000, 0.000, 0.000], [0.000, 0.500, 0.000], [0.000, 0.000, 0.500], [0.500, 0.000, 0.000], [0.500, 0.500, 0.500]]
}

=====

Raw total energy / eV/atom: -2.7773 -2.7696 -5.0624 -5.6073